A plane-wave DFT calculation with PBE-GGA was carried out for crystalline TlReAg at its relaxed geometry.

Unit cell a=6.481 b=6.481 c=6.481 alpha=90.00 beta=90.00 gamma=90.00
Space group F-43m (No. 216)
One atom of each set of equivalent atoms:
Tl (0.000, 0.000, 0.000) [4 per cell]
Re (0.250, 0.250, 0.250) [4 per cell]
Ag (0.000, 0.000, 0.500) [4 per cell]

Properties
- crystal system = cubic
- energy relative to the elements (eV/atom) = 1.337